A geometry-optimized Zr2Zn12Ag structure. Source: the Alexandria database, functional PBE.

For the energy relative to the elements, the calculation gives -0.025 eV/atom. Its magnetization is 0.00 μB per cell.

a = 5.5393 Å, b = 5.5393 Å, c = 16.6206 Å
α = 90.00°, β = 90.00°, γ = 90.00°
Space group P4/nbm (No. 125, origin choice 2)
One atom of each set of equivalent atoms:
Zr: 0.2500 0.7500 0.2449 (multiplicity 4)
Zn: 0.0000 0.0000 0.3925 (multiplicity 8)
Zn: 0.0833 0.5833 0.0675 (multiplicity 8)
Zn: 0.2500 0.2500 0.1582 (multiplicity 4)
Zn: 0.2500 0.2500 0.2984 (multiplicity 4)
Ag: 0.2500 0.7500 0.5000 (multiplicity 2)